Record 1
A relaxed Na2HfTe3 crystal, computed with GGA-PBE.

Unit cell a=7.3512 b=7.6413 c=7.6413 alpha=116.56 beta=101.13 gamma=101.13
Closest atoms and distances in Å follow each position.
Fractional positions:
Na 0.7500 0.0821 0.9179  4 Te 3.08-3.09
Te 0.5000 0.0000 0.5000  2 Hf 3.00, 4 Na 3.08-3.18
Na 0.2500 0.9179 0.0821  4 Te 3.08-3.09
Te 0.9930 0.2169 0.3605  2 Hf 2.89-2.92, 3 Na 3.09-3.22
Na 0.7500 0.7593 0.2407  6 Te 3.17-3.22
Hf 0.2500 0.5905 0.4095  6 Te 2.89-3.00
Te 0.0070 0.7831 0.6395  2 Hf 2.89-2.92, 3 Na 3.09-3.22
Na 0.2500 0.2407 0.7593  6 Te 3.17-3.22
Hf 0.7500 0.4095 0.5905  6 Te 2.89-3.00
Te 0.5070 0.6395 0.7831  2 Hf 2.89-2.92, 3 Na 3.09-3.22
Te 0.4930 0.3605 0.2169  2 Hf 2.89-2.92, 3 Na 3.09-3.22
Te 0.0000 0.5000 0.0000  2 Hf 3.00, 4 Na 3.08-3.18

Properties
space-group type = C2/c
energy = -54.252 eV/cell

Record 2
A relaxed Ho2Ga3Os crystal, computed with GGA-PBE.

Unit cell a=4.5651 b=5.3661 c=6.1859 alpha=115.70 beta=111.65 gamma=90.00
Closest atoms and distances in Å follow each position.
Fractional positions:
Ga 0.3766 0.3766 0.7532  1 Ga 2.51, 2 Os 2.60, 2 Ho 2.80
Ho 0.2977 0.7977 0.5955  6 Ga 2.80-3.07, 1 Os 3.03
Ga 0.0000 0.0000 0.0000  2 Os 2.68
Os 0.0000 0.5000 0.0000  6 Ga 2.60-2.68
Ga 0.6234 0.6234 0.2468  1 Ga 2.51, 2 Os 2.60, 2 Ho 2.80
Ho 0.7023 0.2023 0.4045  6 Ga 2.80-3.07, 1 Os 3.03

Properties
space-group type = Immm
energy = -30.596 eV/cell

Record 3
A relaxed Tm3MgPd4 crystal, computed with GGA-PBE.

Unit cell a=4.8463 b=6.7105 c=9.6934 alpha=90.00 beta=90.00 gamma=90.00
Closest atoms and distances in Å follow each position.
Fractional positions:
Pd 0.5000 0.2531 0.0000  2 Mg 2.94, 6 Tm 2.94-2.96
Tm 0.0000 0.0000 0.0000  8 Pd 2.96
Pd 0.9994 0.7469 0.2500  6 Tm 2.94-2.96, 2 Mg 2.94
Tm 0.4996 0.0000 0.2500  8 Pd 2.96
Pd 0.5000 0.2531 0.5000  2 Mg 2.94, 6 Tm 2.94-2.96
Tm 0.4995 0.5000 0.2500  8 Pd 2.94
Pd 0.0006 0.7469 0.7500  6 Tm 2.94-2.96, 2 Mg 2.94
Tm 0.5005 0.5000 0.7500  8 Pd 2.94
Mg 0.0000 0.5000 0.5000  8 Pd 2.94
Tm 0.5004 0.0000 0.7500  8 Pd 2.96
Pd 0.9994 0.2531 0.2500  6 Tm 2.94-2.96, 2 Mg 2.94
Pd 0.0006 0.2531 0.7500  6 Tm 2.94-2.96, 2 Mg 2.94
Pd 0.5000 0.7469 0.5000  2 Mg 2.94, 6 Tm 2.94-2.96
Pd 0.5000 0.7469 0.0000  2 Mg 2.94, 6 Tm 2.94-2.96
Tm 0.0000 0.0000 0.5000  8 Pd 2.96
Mg 0.0000 0.5000 0.0000  8 Pd 2.94

Properties
space-group type = P4/mmm
energy = -85.823 eV/cell

Record 4
A relaxed MgIn2Si crystal, computed with GGA-PBE.

Unit cell a=3.2696 b=3.9658 c=6.9630 alpha=90.00 beta=90.00 gamma=90.00
Closest atoms and distances in Å follow each position.
Fractional positions:
Si 0.5000 0.5000 0.7225  4 Mg 2.87, 5 In 3.11-3.18
In 0.0000 0.0000 0.9733  1 Mg 3.03, 4 Si 3.11, 6 In 3.27-3.28
Mg 0.0000 0.0000 0.5383  4 Si 2.87, 5 In 3.03-3.19
In 0.5000 0.5000 0.2659  1 Si 3.18, 4 Mg 3.19, 6 In 3.27-3.28

Properties
space-group type = Pmm2
energy = -11.883 eV/cell

Record 5
A relaxed Ca2Sm4Dy crystal, computed with GGA-PBE.

Unit cell a=5.7082 b=5.7082 c=9.8064 alpha=106.92 beta=106.92 gamma=90.00
Closest atoms and distances in Å follow each position.
Fractional positions:
Sm 0.1717 0.1717 0.3434  1 Dy 3.07
Ca 0.6276 0.6276 0.2553  5 Sm 3.59-3.65
Sm 0.8283 0.8283 0.6566  1 Dy 3.07
Sm 0.5000 0.0000 0.0000  2 Dy 2.85
Sm 0.0000 0.5000 0.0000  2 Dy 2.85
Ca 0.3724 0.3724 0.7447  5 Sm 3.59-3.65
Dy 0.0000 0.0000 0.0000  6 Sm 2.85-3.07

Properties
space-group type = I4/mmm
energy = -23.257 eV/cell

Record 6
A relaxed CsCdAuO2 crystal, computed with GGA-PBE.

Unit cell a=5.2103 b=6.5267 c=7.4096 alpha=116.13 beta=90.00 gamma=90.00
Closest atoms and distances in Å follow each position.
Fractional positions:
O 0.6879 0.9033 0.8067  1 Au 2.07, 2 Cd 2.30
O 0.6879 0.5967 0.1933  1 Au 2.07, 2 Cd 2.30
Au 0.0000 0.0000 0.0000  2 O 2.07
O 0.3121 0.0967 0.1933  1 Au 2.07, 2 Cd 2.30
Cs 0.7443 0.2500 0.5000  2 O 3.04
Cs 0.2557 0.7500 0.5000  2 O 3.04
Cd 0.5000 0.2500 0.0000  4 O 2.30
Au 0.0000 0.5000 0.0000  2 O 2.07
Cd 0.5000 0.7500 0.0000  4 O 2.30
O 0.3121 0.4033 0.8067  1 Au 2.07, 2 Cd 2.30

Properties
space-group type = Cmme
energy = -38.383 eV/cell

Record 7
A relaxed Ga2Si2Rh crystal, computed with GGA-PBE.

Unit cell a=6.2142 b=6.2142 c=4.2058 alpha=90.00 beta=90.00 gamma=90.00
Closest atoms and distances in Å follow each position.
Fractional positions:
Ga 0.6815 0.8185 0.5000  6 Si 2.64-2.90
Si 0.1367 0.3633 0.0000  1 Si 2.40, 2 Rh 2.41, 2 Ga 2.64
Ga 0.1815 0.6815 0.5000  6 Si 2.64-2.90
Si 0.3633 0.8633 0.0000  1 Si 2.40, 2 Rh 2.41, 2 Ga 2.64
Si 0.6367 0.1367 0.0000  1 Si 2.40, 2 Rh 2.41, 2 Ga 2.64
Rh 0.0000 0.0000 0.0000  4 Si 2.41
Ga 0.3185 0.1815 0.5000  6 Si 2.64-2.90
Ga 0.8185 0.3185 0.5000  6 Si 2.64-2.90
Rh 0.5000 0.5000 0.0000  4 Si 2.41
Si 0.8633 0.6367 0.0000  1 Si 2.40, 2 Rh 2.41, 2 Ga 2.64

Properties
space-group type = P4/mbm
energy = -49.430 eV/cell

Record 8
A relaxed LaMg2 crystal, computed with GGA-PBE.

Unit cell a=6.2220 b=6.2220 c=10.0938 alpha=90.00 beta=90.00 gamma=120.00
Closest atoms and distances in Å follow each position.
Fractional positions:
Mg 0.1693 0.8307 0.7500  6 Mg 3.06-3.16
Mg 0.0000 0.0000 0.0000  6 Mg 3.11
La 0.3333 0.6667 0.0655  12 Mg 3.63-3.65, 4 La 3.72-3.83
La 0.3333 0.6667 0.4345  12 Mg 3.63-3.65, 4 La 3.72-3.83
Mg 0.3386 0.1693 0.2500  6 Mg 3.06-3.16
Mg 0.0000 0.0000 0.5000  6 Mg 3.11
Mg 0.8307 0.6614 0.2500  6 Mg 3.06-3.16
La 0.6667 0.3333 0.5655  12 Mg 3.63-3.65, 4 La 3.72-3.83
La 0.6667 0.3333 0.9345  12 Mg 3.63-3.65, 4 La 3.72-3.83
Mg 0.6614 0.8307 0.7500  6 Mg 3.06-3.16
Mg 0.8307 0.1693 0.2500  6 Mg 3.06-3.16
Mg 0.1693 0.3386 0.7500  6 Mg 3.06-3.16

Properties
space-group type = P6_3/mmc
energy = -33.855 eV/cell

Record 9
A relaxed La2InAg4Sn3 crystal, computed with GGA-PBE.

Unit cell a=4.6221 b=4.6221 c=11.7039 alpha=90.00 beta=90.00 gamma=90.00
Closest atoms and distances in Å follow each position.
Fractional positions:
Ag 0.0000 0.0000 0.0000  4 Sn 2.79
Sn 0.0000 0.0000 0.5000  4 Ag 2.82
Ag 0.5000 0.5000 0.0000  4 Sn 2.79
Ag 0.5000 0.0000 0.6388  3 Sn 2.66-2.82, 2 In 2.82
In 0.5000 0.5000 0.5000  4 Ag 2.82
La 0.5000 0.0000 0.2377  6 Sn 3.49-3.84, 8 Ag 3.57-3.62, 2 In 3.84
Sn 0.0000 0.5000 0.1339  5 Ag 2.66-2.79
Ag 0.0000 0.5000 0.3612  3 Sn 2.66-2.82, 2 In 2.82
La 0.0000 0.5000 0.7623  6 Sn 3.49-3.84, 8 Ag 3.57-3.62, 2 In 3.84
Sn 0.5000 0.0000 0.8661  5 Ag 2.66-2.79

Properties
space-group type = P-4m2
energy = -40.122 eV/cell

Record 10
A relaxed BSbRuI2 crystal, computed with GGA-PBE.

Unit cell a=4.8907 b=4.8907 c=4.8497 alpha=90.00 beta=90.00 gamma=90.00
Closest atoms and distances in Å follow each position.
Fractional positions:
Ru 0.5000 0.5000 0.5000  8 I 3.44, 4 Sb 3.46
I 0.0000 0.5000 0.0000  2 B 2.45
Sb 0.0000 0.0000 0.5000  2 B 2.42
B 0.0000 0.0000 0.0000  2 Sb 2.42, 4 I 2.45
I 0.5000 0.0000 0.0000  2 B 2.45

Properties
space-group type = P4/mmm
energy = -16.041 eV/cell

Record 11
A relaxed K2LiH6 crystal, computed with GGA-PBE.

Unit cell a=5.6435 b=5.6435 c=5.6435 alpha=60.00 beta=60.00 gamma=60.00
Closest atoms and distances in Å follow each position.
Fractional positions:
K 0.2500 0.2500 0.2500  12 H 2.84
H 0.2085 0.7915 0.2085  1 Li 1.66
H 0.7915 0.2085 0.7915  1 Li 1.66
Li 0.0000 0.0000 0.0000  6 H 1.66
H 0.2085 0.7915 0.7915  1 Li 1.66
K 0.7500 0.7500 0.7500  12 H 2.84
H 0.7915 0.7915 0.2085  1 Li 1.66
H 0.2085 0.2085 0.7915  1 Li 1.66
H 0.7915 0.2085 0.2085  1 Li 1.66

Properties
space-group type = Fm-3m
energy = -20.104 eV/cell

Record 12
A relaxed DyMgAl crystal, computed with GGA-PBE.

Unit cell a=3.5102 b=4.8170 c=4.8170 alpha=120.00 beta=90.00 gamma=90.00
Closest atoms and distances in Å follow each position.
Fractional positions:
Mg 0.1664 0.6667 0.3333  3 Al 2.78
Dy 0.6666 0.3333 0.6667  6 Al 3.29, 6 Mg 3.29, 2 Dy 3.51
Al 0.1670 0.0000 0.0000  3 Mg 2.78

Properties
space-group type = P-6m2
energy = -10.682 eV/cell

Record 13
A relaxed CeUTcOs crystal, computed with GGA-PBE.

Unit cell a=4.8354 b=4.8354 c=4.8354 alpha=60.00 beta=60.00 gamma=60.00
Closest atoms and distances in Å follow each position.
Fractional positions:
Tc 0.7500 0.7500 0.7500  4 U 2.96, 4 Ce 2.96
Os 0.2500 0.2500 0.2500  4 Ce 2.96, 4 U 2.96
U 0.5000 0.5000 0.5000  4 Tc 2.96, 4 Os 2.96
Ce 0.0000 0.0000 0.0000  4 Os 2.96, 4 Tc 2.96

Properties
space-group type = F-43m
energy = -38.709 eV/cell

Record 14
A relaxed NdTm2Tl3 crystal, computed with GGA-PBE.

Unit cell a=3.7626 b=3.7626 c=11.6619 alpha=90.00 beta=90.00 gamma=90.00
Closest atoms and distances in Å follow each position.
Fractional positions:
Tl 0.0000 0.0000 0.6804  4 Tm 3.24, 4 Nd 3.39
Tl 0.0000 0.0000 0.3196  4 Tm 3.24, 4 Nd 3.39
Tm 0.5000 0.5000 0.8393  8 Tl 3.24-3.25
Tm 0.5000 0.5000 0.1607  8 Tl 3.24-3.25
Nd 0.5000 0.5000 0.5000  8 Tl 3.39, 4 Nd 3.76
Tl 0.0000 0.0000 0.0000  8 Tm 3.25

Properties
space-group type = P4/mmm
energy = -22.803 eV/cell

Record 15
A relaxed KSr2Hg3 crystal, computed with GGA-PBE.

Unit cell a=4.0077 b=4.0077 c=12.5341 alpha=90.00 beta=90.00 gamma=90.00
Closest atoms and distances in Å follow each position.
Fractional positions:
Hg 0.0000 0.0000 0.6863  4 Sr 3.42, 4 K 3.67
Hg 0.0000 0.0000 0.0000  8 Sr 3.48
Sr 0.5000 0.5000 0.8392  8 Hg 3.42-3.48
K 0.5000 0.5000 0.5000  8 Hg 3.67, 4 K 4.01
Hg 0.0000 0.0000 0.3137  4 Sr 3.42, 4 K 3.67
Sr 0.5000 0.5000 0.1608  8 Hg 3.42-3.48

Properties
space-group type = P4/mmm
energy = -7.764 eV/cell

Record 16
A relaxed UPa2Ni crystal, computed with GGA-PBE.

Unit cell a=3.5181 b=3.5181 c=6.5744 alpha=90.00 beta=90.00 gamma=90.00
Closest atoms and distances in Å follow each position.
Fractional positions:
Ni 0.5000 0.5000 0.5000  8 Pa 2.96, 2 U 3.29
Pa 0.0000 0.0000 0.2550  4 Ni 2.96, 4 U 3.00, 1 Pa 3.22
Pa 0.0000 0.0000 0.7450  4 Ni 2.96, 4 U 3.00, 1 Pa 3.22
U 0.5000 0.5000 0.0000  8 Pa 3.00, 2 Ni 3.29

Properties
space-group type = P4/mmm
energy = -35.932 eV/cell

Record 17
A relaxed Ga2Bi2Br crystal, computed with GGA-PBE.

Unit cell a=8.8511 b=8.8511 c=3.4761 alpha=90.00 beta=90.00 gamma=90.00
Closest atoms and distances in Å follow each position.
Fractional positions:
Bi 0.1428 0.6428 0.5000  6 Ga 3.08-3.15
Bi 0.3572 0.1428 0.5000  6 Ga 3.08-3.15
Ga 0.8460 0.6540 0.0000  6 Bi 3.08-3.15, 2 Br 3.35
Bi 0.8572 0.3572 0.5000  6 Ga 3.08-3.15
Ga 0.3460 0.8460 0.0000  6 Bi 3.08-3.15, 2 Br 3.35
Br 0.0000 0.0000 0.0000  4 Ga 3.35, 2 Br 3.48
Ga 0.1540 0.3460 0.0000  6 Bi 3.08-3.15, 2 Br 3.35
Ga 0.6540 0.1540 0.0000  6 Bi 3.08-3.15, 2 Br 3.35
Br 0.5000 0.5000 0.0000  4 Ga 3.35, 2 Br 3.48
Bi 0.6428 0.8572 0.5000  6 Ga 3.08-3.15

Properties
space-group type = P4/mbm
energy = -30.711 eV/cell

Record 18
A relaxed PmY6Mg2 crystal, computed with GGA-PBE.

Unit cell a=4.9044 b=4.9044 c=12.0826 alpha=90.00 beta=90.00 gamma=90.00
Closest atoms and distances in Å follow each position.
Fractional positions:
Y 0.5000 0.5000 0.5000  12 Y 3.47-3.57
Mg 0.5000 0.5000 0.1124  1 Mg 2.72
Pm 0.0000 0.0000 0.0000  8 Mg 3.72
Mg 0.5000 0.5000 0.8876  1 Mg 2.72
Y 0.5000 0.0000 0.2849  2 Mg 3.22, 8 Y 3.47-3.57
Y 0.0000 0.5000 0.2849  2 Mg 3.22, 8 Y 3.47-3.57
Y 0.0000 0.0000 0.5000  12 Y 3.47-3.57
Y 0.5000 0.0000 0.7151  2 Mg 3.22, 8 Y 3.47-3.57
Y 0.0000 0.5000 0.7151  2 Mg 3.22, 8 Y 3.47-3.57

Properties
space-group type = P4/mmm
energy = -45.448 eV/cell

Record 19
A relaxed Mn2FeN2 crystal, computed with GGA-PBE.

Unit cell a=5.8686 b=5.8686 c=2.5350 alpha=90.00 beta=90.00 gamma=90.00
Closest atoms and distances in Å follow each position.
Fractional positions:
Mn 0.3591 0.8591 0.0000  6 N 2.11-2.17, 2 Fe 2.26, 1 Mn 2.34
Fe 0.0000 0.0000 0.0000  4 Mn 2.26, 2 Fe 2.53
N 0.3530 0.1470 0.5000  6 Mn 2.11-2.17
N 0.8530 0.3530 0.5000  6 Mn 2.11-2.17
Mn 0.6409 0.1409 0.0000  6 N 2.11-2.17, 2 Fe 2.26, 1 Mn 2.34
N 0.6470 0.8530 0.5000  6 Mn 2.11-2.17
Mn 0.1409 0.3591 0.0000  6 N 2.11-2.17, 2 Fe 2.26, 1 Mn 2.34
Fe 0.5000 0.5000 0.0000  4 Mn 2.26, 2 Fe 2.53
Mn 0.8591 0.6409 0.0000  6 N 2.11-2.17, 2 Fe 2.26, 1 Mn 2.34
N 0.1470 0.6470 0.5000  6 Mn 2.11-2.17

Properties
space-group type = P4/mbm
energy = -79.266 eV/cell

Record 20
A relaxed Sm2Pu4Sb3N2 crystal, computed with GGA-PBE.

Unit cell a=4.6204 b=4.6204 c=13.4740 alpha=99.87 beta=99.87 gamma=90.00
Closest atoms and distances in Å follow each position.
Fractional positions:
Pu 0.9148 0.4148 0.8297  2 N 2.37
Pu 0.5852 0.0852 0.1703  2 N 2.37
Sb 0.8206 0.8206 0.6413  5 Sm 3.27-3.30, 4 Pu 3.38
Pu 0.4148 0.9148 0.8297  2 N 2.37
Sb 0.1794 0.1794 0.3587  5 Sm 3.27-3.30, 4 Pu 3.38
Sm 0.3042 0.3042 0.6085  1 N 2.37
N 0.6051 0.6051 0.2101  4 Pu 2.37, 1 Sm 2.37
N 0.3949 0.3949 0.7899  4 Pu 2.37, 1 Sm 2.37
Pu 0.0852 0.5852 0.1703  2 N 2.37
Sm 0.6958 0.6958 0.3915  1 N 2.37
Sb 0.0000 0.0000 0.0000  8 Pu 3.21

Properties
space-group type = I4/mmm
energy = -106.508 eV/cell